PBE-GGA Sr2B2Os2C, optimized geometry; DOS(E_F) = 3.08 states/eV per cell; energy relative to the elements = -0.179 eV/atom
1.0
-1.9851 -0.6191 3.3132
-2.1584 -5.4505 -0.0025
3.5669 -3.5560 3.7817
B Os Sr C
2 2 2 1
direct
0.2209 0.3622 0.1960 B
0.7791 0.6378 0.8040 B
0.1970 0.6868 0.9193 Os
0.8030 0.3132 0.0807 Os
0.4314 0.8146 0.3227 Sr
0.5686 0.1854 0.6773 Sr
0.0000 0.0000 0.0000 C